## i
AlAgAs, optimized geometry, DFT PBE-GGA; SG = Pmn2_1, No. 31
1.0
-3.5712 -0.2553 -4.1217
-3.4619 -3.5002 3.2163
-5.4858 9.2661 4.1793
Al Ag As
6 6 6
direct
0.0066 0.5036 0.8565
0.7489 0.7700 0.0000
0.0066 0.5036 0.1435
0.5066 0.4964 0.3565
0.2489 0.2300 0.5000
0.5066 0.4964 0.6435
0.8597 0.7006 0.5000
0.3597 0.2994 0.0000
0.0817 0.9839 0.1814
0.5817 0.0161 0.3186
0.5817 0.0161 0.6814
0.0817 0.9839 0.8186
0.9373 0.3199 0.3378
0.4373 0.6801 0.8378
0.8403 0.1920 0.0000
0.4373 0.6801 0.1622
0.9373 0.3199 0.6622
0.3403 0.8080 0.5000



## ii
AlAgAs, optimized geometry, DFT PBE-GGA; SG = P3m1, No. 156
1.0
3.3028 0.0000 0.0000
-1.6514 2.8603 0.0000
0.0000 0.0000 5.9252
As Al Ag
1 1 1
direct
0.3333 0.6667 0.6460
0.6667 0.3333 0.3398
0.0000 0.0000 0.0141



## iii
AlAgAs, optimized geometry, DFT PBE-GGA; SG = Fmm2, No. 42
1.0
-1.4370 -3.2804 5.5569
1.4172 -2.1972 5.8570
-1.7738 1.8349 1.7019
Al As Ag
1 1 1
direct
0.3305 0.3305 0.6695
0.6813 0.6813 0.3187
0.9882 0.9882 0.0118



Pick i: it beats the second-best structure by 48 meV/atom.



## i
AlAgAs, optimized geometry, DFT PBE-GGA; SG = Imm2, No. 44
1.0
5.9837 0.8404 -0.0391
3.7530 4.7356 0.0391
-4.6184 -3.2244 2.1876
Al As Ag
1 1 1
direct
0.6695 0.6695 0.0000
0.3182 0.3182 0.0000
0.0123 0.0123 0.0000



## ii
AlAgAs, optimized geometry, DFT PBE-GGA; SG = P4/nmm, No. 129
1.0
-4.2728 -1.0428 0.2668
1.0763 -4.1482 1.0246
0.0120 1.4664 5.9244
Al As Ag
2 2 2
direct
0.5000 0.5000 0.5000
0.0000 0.0000 0.5000
0.5000 0.0000 0.7459
0.0000 0.5000 0.2541
0.5000 0.0000 0.1850
0.0000 0.5000 0.8150



## iii
AlAgAs, optimized geometry, DFT PBE-GGA; SG = I4mm, No. 107
1.0
4.9803 -0.3568 0.0000
2.6901 4.2065 0.0000
-3.8352 -1.9248 2.5529
Al As Ag
1 1 1
direct
0.3205 0.3205 0.0000
0.6806 0.6806 0.0000
0.9990 0.9990 0.0000



Pick ii: it beats the second-best structure by 71 meV/atom.



## i
AlAgAs, optimized geometry, DFT PBE-GGA; SG = F-43m, No. 216
1.0
4.4070 0.0000 0.0000
2.2035 3.8166 0.0000
2.2035 1.2722 3.5983
Ag Al As
1 1 1
direct
0.5000 0.5000 0.5000
0.7500 0.7500 0.7500
0.0000 0.0000 0.0000



## ii
AlAgAs, optimized geometry, DFT PBE-GGA; SG = P3m1, No. 156
1.0
-1.1822 -1.2429 4.4020
0.8855 -3.3258 -3.2365
2.7871 0.0107 0.7515
Al Ag As
1 1 1
direct
0.6667 0.3333 0.4978
0.0000 0.0000 0.0041
0.3333 0.6667 0.4980



Pick i: it beats the second-best structure by 119 meV/atom.



## i
AlAg2As, optimized geometry, DFT PBE-GGA; SG = Pmmm, No. 47
1.0
2.9270 0.0000 0.0000
0.0000 4.1801 0.0000
0.0000 0.0000 5.8829
Ag Al As
2 1 1
direct
0.0000 0.0000 0.0124
0.0000 0.0000 0.4876
0.5000 0.5000 0.2500
0.5000 0.5000 0.7500



## ii
AlAg2As, optimized geometry, DFT PBE-GGA; SG = P4/mmm, No. 123
1.0
-2.3536 3.9661 -2.0568
-2.4202 0.8223 4.3551
2.1465 1.7236 0.8674
Al Ag As
1 2 1
direct
0.5000 0.0000 0.5000
0.5000 0.5000 0.0000
0.0000 0.0000 0.0000
0.0000 0.5000 0.5000



Pick i: it beats the second-best structure by 72 meV/atom.



## i
AlAg2As2, optimized geometry, DFT PBE-GGA; SG = I4/mmm, No. 139
1.0
3.7964 0.0000 0.0000
0.0000 3.7964 0.0000
1.8982 1.8982 7.1214
Ag Al As
2 1 2
direct
0.5943 0.5943 0.8115
0.4057 0.4057 0.1885
0.0000 0.0000 0.0000
0.2500 0.7500 0.5000
0.7500 0.2500 0.5000



## ii
AlAg2As2, optimized geometry, DFT PBE-GGA; SG = P4/mbm, No. 127
1.0
8.1695 0.0000 0.0000
0.0000 8.1695 0.0000
0.0000 0.0000 2.9348
Al As Ag
2 4 4
direct
0.5000 0.5000 0.0000
0.0000 0.0000 0.0000
0.8287 0.6713 0.0000
0.3287 0.8287 0.0000
0.6713 0.1713 0.0000
0.1713 0.3287 0.0000
0.6295 0.8705 0.5000
0.1295 0.6295 0.5000
0.8705 0.3705 0.5000
0.3705 0.1295 0.5000



Pick ii: it beats the second-best structure by 60 meV/atom.